First-principles (PBE+U) data for crystalline CoPdF at its relaxed geometry, as listed in Alexandria via LeMat-Bulk.

Computed properties:
- E_tot (eV per atom) = -4.872
- M_tot (μB/f.u.) = 2.98
- energy above the most stable polymorph in this dataset (meV/atom) = 0
- DOS at the Fermi energy (states/eV/f.u.) = 0.98

```
data_CoPdF
_chemical_formula_sum 'Co2 Pd2 F2'
_symmetry_space_group_name_H-M 'P m n 21'
_symmetry_Int_Tables_number 31
_cell_length_a 2.9608
_cell_length_b 6.2297
_cell_length_c 4.5703
_cell_angle_alpha 90.00
_cell_angle_beta 90.00
_cell_angle_gamma 90.00
loop_
_symmetry_equiv_pos_as_xyz
'x,y,z'
'-x+1/2,-y,z+1/2'
'-x,y,z'
'x+1/2,-y,z+1/2'
loop_
_atom_site_label
_atom_site_type_symbol
_atom_site_fract_x
_atom_site_fract_y
_atom_site_fract_z
Co1 Co 0.0000 0.2019 0.0000
Pd1 Pd 0.0000 0.4621 0.5042
F1 F 0.0000 0.0143 0.3895
```